Pm5SiGe3: optimized geometry, PBE.

abc: 9.1188 9.1188 6.4594
angles: 90.00 90.00 120.00
Space group P6_3/mcm (No. 193)
Asymmetric unit:
1 Pm 0.0000 0.2609 0.2500
2 Pm 0.3333 0.6667 0.0000
3 Si 0.0000 0.0000 0.0000
4 Ge 0.0000 0.3858 0.7500

Calculated values
ΔE_f (raw) in eV/atom: -0.70
Crystal system: hexagonal
Density in g cm⁻³: 6.93
E in eV/cell: -98.722
Calculated volume in Å³/cell: 465.2